MnNiPbF6 (GGA+U, relaxed); symmetry = P-31c, No. 163; E = -0.1910 hartree per atom
1.0
-0.079 5.462 0.697
-3.090 -3.231 3.216
7.915 -0.759 6.842
F Ni Pb Mn
12 2 2 2
Cartesian
0.836 -2.274 4.529
1.658 0.474 3.883
-0.913 1.250 3.488
5.659 0.222 7.266
3.911 3.746 6.226
-0.015 -1.223 2.176
-1.943 -1.351 4.392
-0.265 -0.013 6.053
6.690 2.823 6.363
5.012 1.486 4.702
3.089 0.998 6.872
4.762 2.696 8.579
4.854 1.995 6.668
-0.107 -0.523 4.087
0.000 0.000 0.000
3.958 -0.379 3.421
0.896 2.375 3.247
3.850 -0.902 7.508